# 1
PmSiNiH | Alexandria | PBE-GGA | relaxed; SG = P4/nmm
1.0
-3.4005 -1.4634 1.3991
1.2520 -3.6693 -0.7950
3.0477 -0.4607 6.9254
H Pm Si Ni
2 2 2 2
Cartesian
1.5238 -0.2303 3.4627
0.4496 -2.7967 3.7648
1.6347 -1.9871 1.8945
0.3388 -1.0399 5.3330
3.1999 -2.2237 5.4513
-1.2265 -0.8033 1.7762
0.0000 0.0000 0.0000
-1.0743 -2.5663 0.3021

=====

# 2
PmSiNi2H | Alexandria | PBE-GGA | relaxed; SG = Cmcm
1.0
3.7748 0.0000 0.0000
-1.8874 5.2236 0.0000
0.0000 0.0000 6.7354
Ni H Pm Si
4 2 2 2
Cartesian
0.0000 1.7607 3.7657
0.0000 1.7607 6.3374
1.8874 3.4629 0.3980
1.8874 3.4629 2.9697
0.0000 0.0000 0.0000
0.0000 0.0000 3.3677
1.8874 0.6251 1.6838
0.0000 4.5984 5.0515
0.0000 2.9026 1.6838
1.8874 2.3210 5.0515

=====

# 3
PmSmNi2H8 | Alexandria | PBE-GGA | relaxed; SG = R-3m
1.0
4.5408 0.0000 0.0000
2.2704 3.9324 0.0000
2.2704 1.3108 6.2192
H Sm Ni Pm
8 1 2 1
Cartesian
4.5409 3.8274 1.0775
5.5851 3.2244 5.1417
6.8111 3.9324 2.8479
3.4964 2.0188 1.0775
5.5850 2.0186 1.0775
3.4965 3.2246 5.1417
2.2704 1.3108 3.3713
4.5406 1.4158 5.1417
0.0000 0.0000 0.0000
2.2704 1.3108 1.7624
6.8111 3.9324 4.4568
4.5408 2.6216 3.1096

=====

# 4
Pm2NiSnH | Alexandria | PBE-GGA | relaxed; SG = P2_1/m
1.0
-3.7914 1.7270 0.0302
-2.5292 -5.5811 1.6283
1.9375 4.1287 7.1343
Pm H Ni Sn
4 2 2 2
Cartesian
-3.6220 -0.5106 5.5431
-4.7046 -2.8153 1.4369
0.3215 3.0898 7.3559
-0.7610 0.7851 3.2497
-2.9347 1.0706 1.4163
-1.4484 -0.7960 7.3766
-0.9205 0.3792 6.4374
-3.4625 -0.1046 2.3554
-2.1204 -2.1994 3.2610
-2.2627 2.4739 5.5319

=====

# 5
Sr2PmNi3H12 | Alexandria | PBE-GGA | relaxed; SG = R-3m
1.0
-5.2254 3.2315 0.0825
-5.1690 -3.1432 1.0748
-2.6421 0.8304 5.4849
H Sr Ni Pm
12 2 3 1
Cartesian
-6.2057 -1.3566 4.7782
-9.0702 -0.6171 5.7532
-6.2411 2.6372 4.1565
-6.8308 2.2752 1.8640
-2.8329 0.4823 3.2592
-7.8242 0.1477 1.3935
-6.7954 -1.7186 2.4857
-9.0949 2.1797 5.3178
-10.2036 0.4363 3.3830
-5.2123 0.7709 5.2486
-3.9663 1.5357 0.8890
-3.9416 -1.2611 1.3243
-5.0688 0.3572 2.5826
-7.9677 0.5614 4.0596
-1.3210 0.4152 2.7424
-2.5845 -1.5716 0.5374
-2.6127 1.6157 0.0413
0.0000 0.0000 0.0000

=====

# 6
PmThNi2H8 | Alexandria | PBE-GGA | relaxed; SG = R-3m
1.0
-2.6002 1.0176 -3.4668
-4.3936 0.4372 0.5658
-1.5197 6.9667 0.3269
H Pm Ni Th
8 1 2 1
Cartesian
-5.0199 6.5215 -1.2938
-3.8759 6.0737 0.2317
-3.4936 1.9000 -1.2801
-4.6376 2.3477 -2.8056
-3.0866 6.3291 -1.5427
-5.4269 2.0924 -1.0313
-1.9188 3.7792 -0.3094
-6.5947 4.6423 -2.2646
0.0000 0.0000 0.0000
-2.1135 2.2244 -0.6197
-6.4000 6.1971 -1.9542
-4.2567 4.2107 -1.2870

=====

Sequential E output: -22.32 -28.50 -51.75 -25.45 -71.40 -55.26 eV per formula unit
Sequential magnetic moment output: 0.00 0.00 0.00 0.00 0.00 0.00 μB per atom